1.
This record from Alexandria via LeMat-Bulk describes PmTlCdTe3 after structural relaxation. The functional is PBE.

Results
ρ = 6.4 g/cm³
final energy = -22.414 eV/f.u.
space-group type = No. 11

Cell lengths 4.558, 9.534, 10.544 Å; angles 105.63, 90.00, 90.00 degrees
Element x y z (fractional)
1 Pm 0.250 0.675 0.141
2 Pm 0.750 0.325 0.859
3 Te 0.250 0.098 0.877
4 Te 0.250 0.547 0.835
5 Te 0.250 0.769 0.469
6 Te 0.750 0.231 0.531
7 Te 0.750 0.902 0.123
8 Te 0.750 0.453 0.165
9 Cd 0.750 0.914 0.395
10 Cd 0.250 0.086 0.605
11 Tl 0.750 0.794 0.782
12 Tl 0.250 0.206 0.218

2.
This record from Alexandria via LeMat-Bulk describes PmTl2Cd2Te4 after structural relaxation. The functional is PBE.

Results
ρ = 7.1 g/cm³
final energy = -29.126 eV/f.u.
space-group type = No. 12
density of states at the Fermi level = 2.002 states/eV per cell

Cell lengths 4.484, 8.577, 8.528 Å; angles 106.01, 105.24, 90.00 degrees
Element x y z (fractional)
1 Tl 0.128 0.550 0.255
2 Tl 0.872 0.450 0.745
3 Te 0.795 0.797 0.589
4 Te 0.205 0.203 0.411
5 Te 0.504 0.737 0.009
6 Te 0.496 0.263 0.991
7 Pm 0.000 0.000 0.000
8 Cd 0.334 0.023 0.669
9 Cd 0.666 0.977 0.331

3.
This record from Alexandria via LeMat-Bulk describes PmThCd4 after structural relaxation. The functional is PBE.

Results
ρ = 8.9 g/cm³
ΔE_f = -0.26 eV per atom
final energy = -17.396 eV/f.u.
space-group type = No. 10
density of states at the Fermi level = 4.842 states/eV per cell

Cell lengths 3.424, 5.089, 9.448 Å; angles 90.00, 68.74, 90.00 degrees
Element x y z (fractional)
1 Cd 0.170 0.997 0.829
2 Cd 0.833 0.997 0.167
3 Cd 0.335 0.497 0.663
4 Cd 0.667 0.497 0.334
5 Th 0.501 0.497 0.998
6 Pm 0.001 0.997 0.498

4.
This record from Alexandria via LeMat-Bulk describes PmTh2Cd5 after structural relaxation. The functional is PBE.

Results
ρ = 9.2 g/cm³
ΔE_f = -0.18 eV per atom
final energy = -25.623 eV/f.u.
space-group type = No. 139
density of states at the Fermi level = 6.283 states/eV per cell

Cell lengths 5.080, 5.080, 8.917 Å; angles 106.55, 106.55, 90.00 degrees
Element x y z (fractional)
1 Cd 0.615 0.115 0.230
2 Cd 0.885 0.385 0.770
3 Cd 0.115 0.615 0.230
4 Cd 0.500 0.500 0.000
5 Cd 0.385 0.885 0.770
6 Th 0.260 0.260 0.519
7 Th 0.740 0.740 0.481
8 Pm 0.000 0.000 0.000

5.
This record from Alexandria via LeMat-Bulk describes Pm5ThCd6 after structural relaxation. The functional is PBE.

Results
ρ = 8.0 g/cm³
ΔE_f = -0.27 eV per atom
final energy = -39.900 eV/f.u.
space-group type = No. 71
density of states at the Fermi level = 16.710 states/eV per cell

Cell lengths 5.404, 7.692, 9.379 Å; angles 114.21, 106.75, 90.00 degrees
Element x y z (fractional)
1 Pm 0.000 0.500 0.000
2 Pm 0.337 0.837 0.673
3 Pm 0.663 0.163 0.327
4 Pm 0.668 0.668 0.336
5 Pm 0.332 0.332 0.664
6 Cd 0.832 0.579 0.665
7 Cd 0.500 0.258 0.000
8 Cd 0.500 0.742 0.000
9 Cd 0.832 0.086 0.665
10 Cd 0.168 0.914 0.335
11 Cd 0.168 0.421 0.335
12 Th 0.000 0.000 0.000

6.
This record from Alexandria via LeMat-Bulk describes PmThCd4 after structural relaxation. The functional is PBE.

Results
ρ = 9.1 g/cm³
ΔE_f = -0.20 eV per atom
final energy = -17.039 eV/f.u.
space-group type = No. 216
density of states at the Fermi level = 6.015 states/eV per cell

Cell lengths 5.984, 5.984, 5.984 Å; angles 60.00, 60.00, 60.00 degrees
Element x y z (fractional)
1 Th 0.000 0.000 0.000
2 Cd 0.625 0.625 0.625
3 Cd 0.126 0.625 0.625
4 Cd 0.625 0.625 0.126
5 Cd 0.625 0.126 0.625
6 Pm 0.250 0.250 0.250

7.
This record from Alexandria via LeMat-Bulk describes PmThCd4 after structural relaxation. The functional is PBE.

Results
ρ = 8.9 g/cm³
ΔE_f = -0.25 eV per atom
final energy = -17.345 eV/f.u.
space-group type = No. 63
density of states at the Fermi level = 8.745 states/eV per cell

Cell lengths 5.094, 6.839, 9.457 Å; angles 68.80, 90.00, 90.00 degrees
Element x y z (fractional)
1 Cd 0.250 0.791 0.416
2 Cd 0.750 0.043 0.917
3 Cd 0.250 0.957 0.083
4 Cd 0.250 0.460 0.083
5 Cd 0.750 0.209 0.584
6 Cd 0.750 0.540 0.917
7 Cd 0.750 0.707 0.584
8 Cd 0.250 0.293 0.416
9 Th 0.250 0.377 0.746
10 Th 0.750 0.623 0.254
11 Pm 0.750 0.126 0.248
12 Pm 0.250 0.874 0.752

8.
This record from Alexandria via LeMat-Bulk describes Pm4ThCd3 after structural relaxation. The functional is PBE.

Results
ρ = 8.2 g/cm³
ΔE_f = -0.18 eV per atom
final energy = -30.612 eV/f.u.
space-group type = No. 47
density of states at the Fermi level = 11.715 states/eV per cell

Cell lengths 3.660, 5.625, 11.311 Å; angles 90.00, 90.00, 90.00 degrees
Element x y z (fractional)
1 Th 0.500 0.500 0.000
2 Cd 0.500 0.000 0.751
3 Cd 0.500 0.500 0.500
4 Cd 0.500 0.000 0.249
5 Pm 0.000 0.000 0.000
6 Pm 0.000 0.500 0.261
7 Pm 0.000 0.000 0.500
8 Pm 0.000 0.500 0.739

9.
This record from Alexandria via LeMat-Bulk describes Pm4ThCd5 after structural relaxation. The functional is PBE.

Results
ρ = 8.1 g/cm³
ΔE_f = -0.26 eV per atom
final energy = -33.635 eV/f.u.
space-group type = No. 123
density of states at the Fermi level = 12.856 states/eV per cell

Cell lengths 3.827, 3.827, 19.218 Å; angles 90.00, 90.00, 90.00 degrees
Each line ends with the local moment (μB).
Element x y z (fractional)
1 Th 0.000 0.000 0.000  0.05
2 Cd 0.500 0.500 0.897  0.01
3 Cd 0.500 0.500 0.103  0.01
4 Cd 0.500 0.500 0.700  0.01
5 Cd 0.500 0.500 0.500  0.01
6 Cd 0.500 0.500 0.300  0.01
7 Pm 0.000 0.000 0.799  0.12
8 Pm 0.000 0.000 0.201  0.12
9 Pm 0.000 0.000 0.600  0.16
10 Pm 0.000 0.000 0.400  0.16

10.
This record from Alexandria via LeMat-Bulk describes PmThCd after structural relaxation. The functional is PBE.

Results
ρ = 9.1 g/cm³
ΔE_f = 0.05 eV per atom
final energy = -12.928 eV/f.u.
space-group type = No. 156
density of states at the Fermi level = 3.821 states/eV per cell

Cell lengths 3.556, 5.376, 5.376 Å; angles 120.00, 90.00, 90.00 degrees
Element x y z (fractional)
1 Th 0.369 0.333 0.667
2 Cd 0.687 0.667 0.333
3 Pm 0.944 0.000 0.000

11.
This record from Alexandria via LeMat-Bulk describes PmTh2Cd after structural relaxation. The functional is PBE.

Results
ρ = 9.7 g/cm³
ΔE_f = 0.03 eV per atom
final energy = -20.384 eV/f.u.
space-group type = No. 123
density of states at the Fermi level = 4.845 states/eV per cell

Cell lengths 3.521, 3.521, 9.972 Å; angles 90.00, 90.00, 90.00 degrees
Element x y z (fractional)
1 Th 0.000 0.000 0.233
2 Th 0.000 0.000 0.767
3 Pm 0.500 0.500 0.500
4 Cd 0.500 0.500 0.000

12.
This record from Alexandria via LeMat-Bulk describes PmTh2Cd after structural relaxation. The functional is PBE.

Results
ρ = 9.7 g/cm³
ΔE_f = 0.19 eV per atom
final energy = -19.730 eV/f.u.
space-group type = No. 166
density of states at the Fermi level = 4.178 states/eV per cell

Cell lengths 3.392, 3.392, 12.598 Å; angles 82.26, 82.26, 60.00 degrees
Element x y z (fractional)
1 Cd 0.500 0.500 0.500
2 Th 0.908 0.908 0.275
3 Th 0.092 0.092 0.725
4 Pm 0.000 0.000 0.000

Question: Among the records above, which one has the highest final energy?
Answer: PmThCd